# 1
Compound: ZrTcHg
Source: Alexandria via LeMat-Bulk
Functional: PBEsol
Structure: optimized geometry

```
data_ZrTcHg
_chemical_formula_sum 'Zr1 Tc1 Hg1'
_cell_length_a 4.7292
_cell_length_b 4.7292
_cell_length_c 2.7727
_cell_angle_alpha 90.00
_cell_angle_beta 90.00
_cell_angle_gamma 120.00
_space_group_name_H-M_alt 'P 3 m 1'
_space_group_IT_number 156
loop_
_space_group_symop_operation_xyz
'x,y,z'
'-y,x-y,z'
'-x+y,-x,z'
'-y,-x,z'
'-x+y,y,z'
'x,x-y,z'
loop_
_atom_site_label
_atom_site_type_symbol
_atom_site_fract_x
_atom_site_fract_y
_atom_site_fract_z
Zr1 Zr 0.0000 0.0000 0.0000
Tc1 Tc 0.6667 0.3333 0.7036
Hg1 Hg 0.3333 0.6667 0.4131
```

energy of formation from the pure elements	0.100	eV per atom
magnetization	0.00	μB per formula unit
offset from the most stable computed form	0	meV/atom
crystal system	trigonal

=====

# 2
Compound: Cd3FeMo
Source: Alexandria via LeMat-Bulk
Functional: PBEsol
Structure: optimized geometry

```
data_Cd3FeMo
_chemical_formula_sum 'Cd3 Fe1 Mo1'
_cell_length_a 4.762
_cell_length_b 4.762
_cell_length_c 4.762
_cell_angle_alpha 90.00
_cell_angle_beta 90.00
_cell_angle_gamma 90.00
_space_group_name_H-M_alt 'P m -3 m'
_space_group_IT_number 221
_space_group_name_Hall '-P 4 2 3'
loop_
_atom_site_label
_atom_site_type_symbol
_atom_site_fract_x
_atom_site_fract_y
_atom_site_fract_z
Cd1 Cd 0.000 0.000 0.500
Fe1 Fe 0.000 0.000 0.000
Mo1 Mo 0.500 0.500 0.500
```

energy of formation from the pure elements	1.339	eV per atom
magnetization	5.08	μB per formula unit
crystal system	cubic

=====

# 3
Compound: AlRu
Source: Alexandria via LeMat-Bulk
Functional: PBEsol
Structure: optimized geometry

```
data_AlRu
_chemical_formula_sum 'Al2 Ru2'
_cell_length_a 2.7757
_cell_length_b 2.7757
_cell_length_c 8.4257
_cell_angle_alpha 90.00
_cell_angle_beta 90.00
_cell_angle_gamma 120.00
_space_group_name_H-M_alt 'P -3 m 1'
_space_group_IT_number 164
_space_group_name_Hall '-P 3 2"'
loop_
_atom_site_label
_atom_site_type_symbol
_atom_site_fract_x
_atom_site_fract_y
_atom_site_fract_z
Al1 Al 0.3333 0.6667 0.1397
Ru1 Ru 0.3333 0.6667 0.6222
```

energy of formation from the pure elements	-0.146	eV per atom
magnetization	0.00	μB per formula unit
crystal system	trigonal

=====

# 4
Compound: KYMg2As
Source: Alexandria via LeMat-Bulk
Functional: PBEsol
Structure: optimized geometry

```
data_KYMg2As
_chemical_formula_sum 'K1 Y1 Mg2 As1'
_cell_length_a 5.207
_cell_length_b 5.207
_cell_length_c 5.783
_cell_angle_alpha 90.00
_cell_angle_beta 90.00
_cell_angle_gamma 90.00
_space_group_name_H-M_alt 'P 4/m m m'
_space_group_IT_number 123
_space_group_name_Hall '-P 4 2'
loop_
_atom_site_label
_atom_site_type_symbol
_atom_site_fract_x
_atom_site_fract_y
_atom_site_fract_z
K1 K 0.000 0.000 0.000
Y1 Y 0.000 0.000 0.500
Mg1 Mg 0.000 0.500 0.000
As1 As 0.500 0.500 0.500
```

energy of formation from the pure elements	1.308	eV per atom
magnetization	0.39	μB per formula unit
crystal system	tetragonal

=====

# 5
Compound: Hf3Cu4Ge2
Source: Alexandria via LeMat-Bulk
Functional: PBEsol
Structure: optimized geometry

```
data_Hf3Cu4Ge2
_chemical_formula_sum 'Hf3 Cu4 Ge2'
_cell_length_a 6.2864
_cell_length_b 6.2864
_cell_length_c 3.9602
_cell_angle_alpha 90.00
_cell_angle_beta 90.00
_cell_angle_gamma 120.00
_space_group_name_H-M_alt 'P -6 2 m'
_space_group_IT_number 189
_space_group_name_Hall 'P -6 -2'
loop_
_atom_site_label
_atom_site_type_symbol
_atom_site_fract_x
_atom_site_fract_y
_atom_site_fract_z
Hf1 Hf 0.0000 0.4115 0.0000
Cu1 Cu 0.0000 0.0000 0.0000
Cu2 Cu 0.0000 0.7608 0.5000
Ge1 Ge 0.3333 0.6667 0.5000
```

energy of formation from the pure elements	-0.486	eV per atom
magnetization	0.00	μB per formula unit
crystal system	hexagonal

=====

# 6
Compound: NiOsRu2
Source: Alexandria via LeMat-Bulk
Functional: PBEsol
Structure: optimized geometry

```
data_NiOsRu2
_chemical_formula_sum 'Ni2 Os2 Ru4'
_cell_length_a 2.705
_cell_length_b 4.475
_cell_length_c 8.812
_cell_angle_alpha 90.00
_cell_angle_beta 90.00
_cell_angle_gamma 90.00
_space_group_name_H-M_alt 'C m m m'
_space_group_IT_number 65
_space_group_name_Hall '-C 2 2'
loop_
_atom_site_label
_atom_site_type_symbol
_atom_site_fract_x
_atom_site_fract_y
_atom_site_fract_z
Ni1 Ni 0.000 0.000 0.000
Os1 Os 0.000 0.000 0.500
Ru1 Ru 0.000 0.500 0.242
```

energy of formation from the pure elements	0.542	eV per atom
magnetization	1.65	μB per formula unit
offset from the most stable computed form	420	meV/atom
crystal system	orthorhombic